1.
12
Lattice="10.045 0.000 0.000 0.000 4.368 0.000 -3.754 0.000 9.748" Properties=species:S:1:pos:R:3 comment="RbNpCuTe3 | Alexandria via LeMat-Bulk | PBE | relaxed" total_magnetization_mub_per_atom=0.513 raw_formation_energy_ev_per_atom=-0.6642 pbc="T T T"
Rb 1.168 1.092 2.412
Rb 5.123 3.276 7.336
Np 0.038 3.276 8.213
Np 6.253 1.092 1.534
Cu -1.408 1.092 5.797
Cu 7.700 3.276 3.951
Te -2.077 1.092 8.368
Te 0.010 3.276 5.210
Te 4.078 3.276 1.551
Te 2.213 1.092 8.196
Te 6.281 1.092 4.538
Te 8.368 3.276 1.380


2.
8
Lattice="-4.421 4.421 3.709 4.421 -4.421 3.709 4.421 4.421 -3.709" Properties=species:S:1:pos:R:3 comment="Rb2NpCuTe4 | Alexandria via LeMat-Bulk | PBE | relaxed" total_magnetization_mub_per_atom=0.250 raw_formation_energy_ev_per_atom=-0.4926 pbc="T T T"
Rb 4.421 0.000 0.000
Rb 0.000 4.421 0.000
Np 0.000 0.000 0.000
Cu 0.000 0.000 3.709
Te 1.476 -1.476 2.073
Te -1.476 1.476 2.073
Te 2.945 2.945 1.636
Te 1.476 1.476 5.345


3.
16
Lattice="2.215 -7.736 0.000 2.215 7.736 0.000 0.000 0.000 15.457" Properties=species:S:1:pos:R:3 comment="RbNp2CuTe4 | Alexandria via LeMat-Bulk | PBE | relaxed" total_magnetization_mub_per_atom=1.000 raw_formation_energy_ev_per_atom=-0.6700 pbc="T T T"
Rb 2.215 6.040 11.593
Rb 2.215 -6.040 3.864
Np 2.215 2.060 8.673
Np 2.215 2.060 14.513
Np 2.215 -2.060 0.945
Np 2.215 -2.060 6.784
Cu 2.215 5.234 3.864
Cu 2.215 -5.234 11.593
Te 0.000 0.000 0.000
Te 0.000 0.000 7.729
Te 2.215 3.656 1.736
Te 2.215 3.656 5.992
Te 2.215 1.083 11.593
Te 2.215 -1.083 3.864
Te 2.215 -3.656 9.465
Te 2.215 -3.656 13.721


Results for VASP energy: -62.8, -35.5, -97.7 (in eV for the cell shown, following the order of the records).